This record from Alexandria via LeMat-Bulk describes Pu8Pd5Ru after structural relaxation. The functional is PBE-GGA.

Results
**DFT total energy**: -10.98 eV/atom
**Magnetic moment**: 3.13 μB per atom
**Formation energy from the elements**: -0.28 eV per atom

Cell and atoms, written as CIF:
```
data_Pu8Pd5Ru
_space_group_name_H-M_alt 'I -4'
_space_group_IT_number 82
_cell_length_a 8.627
_cell_length_b 8.627
_cell_length_c 8.732
_cell_angle_alpha 90.00
_cell_angle_beta 90.00
_cell_angle_gamma 90.00
loop_
_space_group_symop_operation_xyz
'x,y,z'
'y,-x,-z'
'-x,-y,z'
'-y,x,-z'
'x+1/2,y+1/2,z+1/2'
'y+1/2,-x+1/2,-z+1/2'
'-x+1/2,-y+1/2,z+1/2'
'-y+1/2,x+1/2,-z+1/2'
loop_
_atom_site_label
_atom_site_fract_x
_atom_site_fract_y
_atom_site_fract_z
_atom_site_occupancy
Pu1 0.068 0.174 0.298 1
Pu2 0.077 0.308 0.949 1
Pd1 0.000 0.500 0.250 1
Pd2 0.118 0.257 0.620 1
Ru1 0.000 0.000 0.000 1
```

=====

This record from Alexandria via LeMat-Bulk describes Pu4PdRu3 after structural relaxation. The functional is PBE-GGA.

Results
**DFT total energy**: -11.42 eV/atom
**Magnetic moment**: 0.16 μB per atom
**Formation energy from the elements**: -0.12 eV per atom

Cell and atoms, written as CIF:
```
data_Pu4PdRu3
_space_group_name_H-M_alt 'R -3 m'
_space_group_IT_number 166
_space_group_name_Hall '-R 3 2"'
_cell_length_a 4.7055
_cell_length_b 4.7055
_cell_length_c 24.8697
_cell_angle_alpha 90.00
_cell_angle_beta 90.00
_cell_angle_gamma 120.00
loop_
_atom_site_label
_atom_site_fract_x
_atom_site_fract_y
_atom_site_fract_z
_atom_site_occupancy
Pu1 0.0000 0.0000 0.1213 1
Pu2 0.0000 0.0000 0.3748 1
Pd1 0.0000 0.0000 0.5000 1
Ru1 0.0000 0.0000 0.0000 1
Ru2 0.0000 0.0000 0.2562 1
```

=====

This record from Alexandria via LeMat-Bulk describes PuScPdRu after structural relaxation. The functional is PBE-GGA.

Results
**DFT total energy**: -9.23 eV/atom
**Magnetic moment**: 1.17 μB per atom
**Formation energy from the elements**: -0.44 eV per atom

Cell and atoms, written as CIF:
```
data_PuScPdRu
_space_group_name_H-M_alt 'F -4 3 m'
_space_group_IT_number 216
_space_group_name_Hall 'F -4 2 3'
_cell_length_a 6.708
_cell_length_b 6.708
_cell_length_c 6.708
_cell_angle_alpha 90.00
_cell_angle_beta 90.00
_cell_angle_gamma 90.00
loop_
_atom_site_label
_atom_site_fract_x
_atom_site_fract_y
_atom_site_fract_z
_atom_site_occupancy
Pu1 0.000 0.000 0.000 1
Sc1 0.000 0.000 0.500 1
Pd1 0.250 0.250 0.250 1
Ru1 0.250 0.250 0.750 1
```

=====

This record from Alexandria via LeMat-Bulk describes SmPuPdRu after structural relaxation. The functional is PBE-GGA.

Results
**DFT total energy**: -8.71 eV/atom
**Magnetic moment**: 1.16 μB per atom
**Formation energy from the elements**: -0.33 eV per atom

Cell and atoms, written as CIF:
```
data_SmPuPdRu
_space_group_name_H-M_alt 'F -4 3 m'
_space_group_IT_number 216
_space_group_name_Hall 'F -4 2 3'
_cell_length_a 6.965
_cell_length_b 6.965
_cell_length_c 6.965
_cell_angle_alpha 90.00
_cell_angle_beta 90.00
_cell_angle_gamma 90.00
loop_
_atom_site_label
_atom_site_fract_x
_atom_site_fract_y
_atom_site_fract_z
_atom_site_occupancy
Sm1 0.000 0.000 0.000 1
Pu1 0.000 0.000 0.500 1
Pd1 0.250 0.250 0.250 1
Ru1 0.250 0.250 0.750 1
```

=====

This record from Alexandria via LeMat-Bulk describes PuSn4Pd2Ru after structural relaxation. The functional is PBE-GGA.

Results
**DFT total energy**: -6.53 eV/atom
**Magnetic moment**: 0.76 μB per atom
**Formation energy from the elements**: -0.28 eV per atom

Cell and atoms, written as CIF:
```
data_PuSn4Pd2Ru
_space_group_name_H-M_alt 'R -3 m'
_space_group_IT_number 166
_space_group_name_Hall '-R 3 2"'
_cell_length_a 4.5982
_cell_length_b 4.5982
_cell_length_c 27.3594
_cell_angle_alpha 90.00
_cell_angle_beta 90.00
_cell_angle_gamma 120.00
loop_
_atom_site_label
_atom_site_fract_x
_atom_site_fract_y
_atom_site_fract_z
_atom_site_occupancy
Pu1 0.0000 0.0000 0.0000 1
Sn1 0.0000 0.0000 0.1305 1
Sn2 0.0000 0.0000 0.3944 1
Pd1 0.0000 0.0000 0.2362 1
Ru1 0.0000 0.0000 0.5000 1
```

=====

This record from Alexandria via LeMat-Bulk describes PuThPdRu after structural relaxation. The functional is PBE-GGA.

Results
**DFT total energy**: -9.44 eV/atom
**Magnetic moment**: 1.35 μB per atom
**Formation energy from the elements**: -0.39 eV per atom

Cell and atoms, written as CIF:
```
data_PuThPdRu
_space_group_name_H-M_alt 'F -4 3 m'
_space_group_IT_number 216
_space_group_name_Hall 'F -4 2 3'
_cell_length_a 7.042
_cell_length_b 7.042
_cell_length_c 7.042
_cell_angle_alpha 90.00
_cell_angle_beta 90.00
_cell_angle_gamma 90.00
loop_
_atom_site_label
_atom_site_fract_x
_atom_site_fract_y
_atom_site_fract_z
_atom_site_occupancy
Pu1 0.000 0.000 0.000 1
Th1 0.000 0.000 0.500 1
Pd1 0.250 0.250 0.750 1
Ru1 0.250 0.250 0.250 1
```

=====

This record from Alexandria via LeMat-Bulk describes TmPuPdRu after structural relaxation. The functional is PBE-GGA.

Results
**DFT total energy**: -8.76 eV/atom
**Magnetic moment**: 1.17 μB per atom
**Formation energy from the elements**: -0.44 eV per atom

Cell and atoms, written as CIF:
```
data_TmPuPdRu
_space_group_name_H-M_alt 'F -4 3 m'
_space_group_IT_number 216
_space_group_name_Hall 'F -4 2 3'
_cell_length_a 6.851
_cell_length_b 6.851
_cell_length_c 6.851
_cell_angle_alpha 90.00
_cell_angle_beta 90.00
_cell_angle_gamma 90.00
loop_
_atom_site_label
_atom_site_fract_x
_atom_site_fract_y
_atom_site_fract_z
_atom_site_occupancy
Tm1 0.000 0.000 0.000 1
Pu1 0.000 0.000 0.500 1
Pd1 0.250 0.250 0.250 1
Ru1 0.250 0.250 0.750 1
```

=====

This record from Alexandria via LeMat-Bulk describes YPuPdRu after structural relaxation. The functional is PBE-GGA.

Results
**DFT total energy**: -9.20 eV/atom
**Magnetic moment**: 1.17 μB per atom
**Formation energy from the elements**: -0.39 eV per atom

Cell and atoms, written as CIF:
```
data_YPuPdRu
_space_group_name_H-M_alt 'F -4 3 m'
_space_group_IT_number 216
_space_group_name_Hall 'F -4 2 3'
_cell_length_a 6.907
_cell_length_b 6.907
_cell_length_c 6.907
_cell_angle_alpha 90.00
_cell_angle_beta 90.00
_cell_angle_gamma 90.00
loop_
_atom_site_label
_atom_site_fract_x
_atom_site_fract_y
_atom_site_fract_z
_atom_site_occupancy
Y1 0.000 0.000 0.000 1
Pu1 0.000 0.000 0.500 1
Pd1 0.250 0.250 0.750 1
Ru1 0.250 0.250 0.250 1
```

=====

Number 2 is which compound?
Pu4PdRu3

=====

Which of these has the highest magnetic moment?
Pu8Pd5Ru

=====

What did the eighth record say?
This record from Alexandria via LeMat-Bulk describes YPuPdRu after structural relaxation. The functional is PBE-GGA.

Results
**DFT total energy**: -9.20 eV/atom
**Magnetic moment**: 1.17 μB per atom
**Formation energy from the elements**: -0.39 eV per atom

Cell and atoms, written as CIF:
```
data_YPuPdRu
_space_group_name_H-M_alt 'F -4 3 m'
_space_group_IT_number 216
_space_group_name_Hall 'F -4 2 3'
_cell_length_a 6.907
_cell_length_b 6.907
_cell_length_c 6.907
_cell_angle_alpha 90.00
_cell_angle_beta 90.00
_cell_angle_gamma 90.00
loop_
_atom_site_label
_atom_site_fract_x
_atom_site_fract_y
_atom_site_fract_z
_atom_site_occupancy
Y1 0.000 0.000 0.000 1
Pu1 0.000 0.000 0.500 1
Pd1 0.250 0.250 0.750 1
Ru1 0.250 0.250 0.250 1
```